## ZrCdAu2 (PBE)

Data for ZrCdAu2 after structural relaxation.

Results
Total magnetic moment   0.000 μB/f.u.
Density of states at the Fermi level   2.33 states/eV/f.u.
Space-group type   R3m
Formation energy   -0.13 eV per atom

The structure in POSCAR format:
```
ZrCdAu2
1.0
9.601 -0.009 -0.006
9.085 3.106 -0.006
9.085 1.506 2.717
Au Cd Zr
2 1 1
direct
0.999 0.999 0.999
0.251 0.251 0.251
0.504 0.504 0.504
0.746 0.746 0.746
```